A plane-wave DFT calculation with GGA-PBE was carried out for crystalline RbLi2Ca2Sb2 at its relaxed geometry.

a b c (Å): 5.0072 5.0072 30.7591
angles (deg): 90.00 90.00 120.00
Space group R-3m (No. 166, hexagonal axes)
Unique sites:
Rb (0.0000, 0.0000, 0.0000)
Li (0.0000, 0.0000, 0.4261)
Ca (0.0000, 0.0000, 0.1337)
Sb (0.0000, 0.0000, 0.2427)

Summary:
**Spin magnetization**: 0.00 Bohr magnetons per cell
**Uncorrected formation energy**: -0.681 eV/atom
**Total energy**: -3.12 eV/atom